(1)
# ScMnHgS2 (meta-GGA SCAN, PBEsol geometry)
data_ScMnHgS2
_cell_length_a 4.7684
_cell_length_b 4.7684
_cell_length_c 5.6376
_cell_angle_alpha 90.00
_cell_angle_beta 90.00
_cell_angle_gamma 90.00
_space_group_name_H-M_alt 'P 4/m m m'
_space_group_IT_number 123
_space_group_name_Hall '-P 4 2'
loop_
_atom_site_label
_atom_site_type_symbol
_atom_site_fract_x
_atom_site_fract_y
_atom_site_fract_z
_atom_site_occupancy
Sc1 Sc 0.0000 0.0000 0.0000 1
Mn1 Mn 0.0000 0.0000 0.5000 1
Hg1 Hg 0.5000 0.5000 0.5000 1
S1 S 0.0000 0.5000 0.0000 1
# DOS(E_F) in states/eV per atom: 0.493
# ΔE_f (raw) in eV per atom: -0.2313

***

(2)
# MnHgSb (meta-GGA SCAN, PBEsol geometry)
data_MnHgSb
_cell_length_a 6.4159
_cell_length_b 6.4159
_cell_length_c 6.4159
_cell_angle_alpha 90.00
_cell_angle_beta 90.00
_cell_angle_gamma 90.00
_space_group_name_H-M_alt 'F -4 3 m'
_space_group_IT_number 216
_space_group_name_Hall 'F -4 2 3'
loop_
_atom_site_label
_atom_site_type_symbol
_atom_site_fract_x
_atom_site_fract_y
_atom_site_fract_z
_atom_site_occupancy
Mn1 Mn 0.0000 0.0000 0.0000 1
Hg1 Hg 0.2500 0.2500 0.2500 1
Sb1 Sb 0.2500 0.2500 0.7500 1
# DOS(E_F) in states/eV per atom: 0.286
# ΔE_f (raw) in eV per atom: -0.0801

***

(3)
# Mn2HgSb2 (meta-GGA SCAN, PBEsol geometry)
data_Mn2HgSb2
_cell_length_a 5.0554
_cell_length_b 5.0554
_cell_length_c 7.6157
_cell_angle_alpha 90.00
_cell_angle_beta 90.00
_cell_angle_gamma 90.00
_space_group_name_H-M_alt 'I 4/m m m'
_space_group_IT_number 139
_space_group_name_Hall '-I 4 2'
loop_
_atom_site_label
_atom_site_type_symbol
_atom_site_fract_x
_atom_site_fract_y
_atom_site_fract_z
_atom_site_occupancy
Mn1 Mn 0.0000 0.0000 0.1286 1
Hg1 Hg 0.0000 0.0000 0.5000 1
Sb1 Sb 0.0000 0.5000 0.2500 1
# DOS(E_F) in states/eV per atom: 0.642
# ΔE_f (raw) in eV per atom: 0.5133

***

(4)
# TaMn2HgSb (meta-GGA SCAN, PBEsol geometry)
data_TaMn2HgSb
_cell_length_a 4.8091
_cell_length_b 4.8091
_cell_length_c 5.2213
_cell_angle_alpha 90.00
_cell_angle_beta 90.00
_cell_angle_gamma 90.00
_space_group_name_H-M_alt 'P 4/m m m'
_space_group_IT_number 123
_space_group_name_Hall '-P 4 2'
loop_
_atom_site_label
_atom_site_type_symbol
_atom_site_fract_x
_atom_site_fract_y
_atom_site_fract_z
_atom_site_occupancy
Ta1 Ta 0.0000 0.0000 0.0000 1
Mn1 Mn 0.0000 0.5000 0.0000 1
Hg1 Hg 0.5000 0.5000 0.5000 1
Sb1 Sb 0.0000 0.0000 0.5000 1
# DOS(E_F) in states/eV per atom: 0.622
# ΔE_f (raw) in eV per atom: 0.8561

***

(5)
# MnHgSbTe2 (meta-GGA SCAN, PBEsol geometry)
data_MnHgSbTe2
_cell_length_a 5.5319
_cell_length_b 5.5319
_cell_length_c 5.3912
_cell_angle_alpha 90.00
_cell_angle_beta 90.00
_cell_angle_gamma 90.00
_space_group_name_H-M_alt 'P 4/m m m'
_space_group_IT_number 123
_space_group_name_Hall '-P 4 2'
loop_
_atom_site_label
_atom_site_type_symbol
_atom_site_fract_x
_atom_site_fract_y
_atom_site_fract_z
_atom_site_occupancy
Mn1 Mn 0.0000 0.0000 0.0000 1
Hg1 Hg 0.5000 0.5000 0.5000 1
Sb1 Sb 0.5000 0.5000 0.0000 1
Te1 Te 0.0000 0.5000 0.5000 1
# DOS(E_F) in states/eV per atom: 1.006
# ΔE_f (raw) in eV per atom: 0.7927

***

(6)
# ScMnHg (meta-GGA SCAN, PBEsol geometry)
data_ScMnHg
_cell_length_a 6.4271
_cell_length_b 6.4271
_cell_length_c 6.4271
_cell_angle_alpha 90.00
_cell_angle_beta 90.00
_cell_angle_gamma 90.00
_space_group_name_H-M_alt 'F -4 3 m'
_space_group_IT_number 216
_space_group_name_Hall 'F -4 2 3'
loop_
_atom_site_label
_atom_site_type_symbol
_atom_site_fract_x
_atom_site_fract_y
_atom_site_fract_z
_atom_site_occupancy
Sc1 Sc 0.0000 0.0000 0.0000 1
Mn1 Mn 0.0000 0.0000 0.5000 1
Hg1 Hg 0.2500 0.2500 0.7500 1
# DOS(E_F) in states/eV per atom: 1.244
# DFT formation energy in eV/atom: -0.17

***

(7)
# ScMnHg (meta-GGA SCAN, PBEsol geometry)
data_ScMnHg
_cell_length_a 3.1040
_cell_length_b 3.1040
_cell_length_c 6.7146
_cell_angle_alpha 90.00
_cell_angle_beta 90.00
_cell_angle_gamma 120.00
_space_group_name_H-M_alt 'P 3 m 1'
_space_group_IT_number 156
_space_group_name_Hall 'P 3 -2"'
loop_
_atom_site_label
_atom_site_type_symbol
_atom_site_fract_x
_atom_site_fract_y
_atom_site_fract_z
_atom_site_occupancy
Sc1 Sc 0.0000 0.0000 0.0000 1
Mn1 Mn 0.3333 0.6667 0.3081 1
Hg1 Hg 0.6667 0.3333 0.6336 1
# DOS(E_F) in states/eV per atom: 0.635
# DFT formation energy in eV/atom: -0.09

***

(8)
# MnHgSe2 (meta-GGA SCAN, PBEsol geometry)
data_MnHgSe2
_cell_length_a 2.9332
_cell_length_b 2.9332
_cell_length_c 8.9425
_cell_angle_alpha 90.00
_cell_angle_beta 90.00
_cell_angle_gamma 90.00
_space_group_name_H-M_alt 'P 4/m m m'
_space_group_IT_number 123
_space_group_name_Hall '-P 4 2'
loop_
_atom_site_label
_atom_site_type_symbol
_atom_site_fract_x
_atom_site_fract_y
_atom_site_fract_z
_atom_site_occupancy
Mn1 Mn 0.0000 0.0000 0.0000 1
Hg1 Hg 0.0000 0.0000 0.5000 1
Se1 Se 0.5000 0.5000 0.1627 1
# DOS(E_F) in states/eV per atom: 0.543
# ΔE_f (raw) in eV per atom: -0.0498

***

(9)
# MnHgSe2 (meta-GGA SCAN, PBEsol geometry)
data_MnHgSe2
_cell_length_a 3.3359
_cell_length_b 3.3359
_cell_length_c 28.0606
_cell_angle_alpha 90.00
_cell_angle_beta 90.00
_cell_angle_gamma 120.00
_space_group_name_H-M_alt 'R -3 m'
_space_group_IT_number 166
_space_group_name_Hall '-R 3 2"'
loop_
_atom_site_label
_atom_site_type_symbol
_atom_site_fract_x
_atom_site_fract_y
_atom_site_fract_z
_atom_site_occupancy
Mn1 Mn 0.0000 0.0000 0.0000 1
Hg1 Hg 0.0000 0.0000 0.5000 1
Se1 Se 0.0000 0.0000 0.3856 1
# DOS(E_F) in states/eV per atom: 0.234
# ΔE_f (raw) in eV per atom: -0.4774

***

(10)
# MnHgSe2 (meta-GGA SCAN, PBEsol geometry)
data_MnHgSe2
_cell_length_a 5.7273
_cell_length_b 7.4599
_cell_length_c 3.7431
_cell_angle_alpha 90.00
_cell_angle_beta 90.00
_cell_angle_gamma 90.00
_space_group_name_H-M_alt 'C m m m'
_space_group_IT_number 65
_space_group_name_Hall '-C 2 2'
loop_
_atom_site_label
_atom_site_type_symbol
_atom_site_fract_x
_atom_site_fract_y
_atom_site_fract_z
_atom_site_occupancy
Mn1 Mn 0.0000 0.0000 0.0000 1
Hg1 Hg 0.0000 0.5000 0.0000 1
Se1 Se 0.2500 0.2500 0.5000 1
# DOS(E_F) in states/eV per atom: 0.323
# ΔE_f (raw) in eV per atom: 0.0182

***

(11)
# Mn2HgSe (meta-GGA SCAN, PBEsol geometry)
data_Mn2HgSe
_cell_length_a 3.8168
_cell_length_b 3.8168
_cell_length_c 9.4023
_cell_angle_alpha 90.00
_cell_angle_beta 90.00
_cell_angle_gamma 90.00
_space_group_name_H-M_alt 'I -4 m 2'
_space_group_IT_number 119
_space_group_name_Hall 'I -4 -2'
loop_
_atom_site_label
_atom_site_type_symbol
_atom_site_fract_x
_atom_site_fract_y
_atom_site_fract_z
_atom_site_occupancy
Mn1 Mn 0.0000 0.0000 0.0000 1
Mn2 Mn 0.0000 0.5000 0.2500 1
Hg1 Hg 0.0000 0.5000 0.7500 1
Se1 Se 0.0000 0.0000 0.5000 1
# DOS(E_F) in states/eV per atom: 0.415
# ΔE_f (raw) in eV per atom: -0.0940

***

(12)
# Mn2HgSe (meta-GGA SCAN, PBEsol geometry)
data_Mn2HgSe
_cell_length_a 3.4233
_cell_length_b 3.4233
_cell_length_c 21.2828
_cell_angle_alpha 90.00
_cell_angle_beta 90.00
_cell_angle_gamma 120.00
_space_group_name_H-M_alt 'R -3 m'
_space_group_IT_number 166
_space_group_name_Hall '-R 3 2"'
loop_
_atom_site_label
_atom_site_type_symbol
_atom_site_fract_x
_atom_site_fract_y
_atom_site_fract_z
_atom_site_occupancy
Mn1 Mn 0.0000 0.0000 0.2416 1
Hg1 Hg 0.0000 0.0000 0.0000 1
Se1 Se 0.0000 0.0000 0.5000 1
# DOS(E_F) in states/eV per atom: 0.336
# ΔE_f (raw) in eV per atom: -0.2973

***

- Among the records above, which one has the highest DOS(E_F)?
  number 6

***

What did the fourth record say?
# TaMn2HgSb (meta-GGA SCAN, PBEsol geometry)
data_TaMn2HgSb
_cell_length_a 4.8091
_cell_length_b 4.8091
_cell_length_c 5.2213
_cell_angle_alpha 90.00
_cell_angle_beta 90.00
_cell_angle_gamma 90.00
_space_group_name_H-M_alt 'P 4/m m m'
_space_group_IT_number 123
_space_group_name_Hall '-P 4 2'
loop_
_atom_site_label
_atom_site_type_symbol
_atom_site_fract_x
_atom_site_fract_y
_atom_site_fract_z
_atom_site_occupancy
Ta1 Ta 0.0000 0.0000 0.0000 1
Mn1 Mn 0.0000 0.5000 0.0000 1
Hg1 Hg 0.5000 0.5000 0.5000 1
Sb1 Sb 0.0000 0.0000 0.5000 1
# DOS(E_F) in states/eV per atom: 0.622
# ΔE_f (raw) in eV per atom: 0.8561